Record 1
The following is a PBE+U calculation of a relaxed structure of Cs2DyCo3F12, from Alexandria.

Lattice parameters (Å, degrees): 7.696 7.696 7.696 58.51 58.51 58.51
Atoms (fractional coordinates):
F 0.081 0.081 0.654
F 0.654 0.081 0.081
F 0.691 0.082 0.691
F 0.691 0.691 0.082
F 0.309 0.309 0.918
F 0.918 0.309 0.309
F 0.082 0.691 0.691
F 0.919 0.919 0.346
F 0.919 0.346 0.919
F 0.309 0.918 0.309
F 0.081 0.654 0.081
F 0.346 0.919 0.919
Cs 0.389 0.389 0.389
Cs 0.611 0.611 0.611
Co 0.500 0.000 0.000
Co 0.000 0.500 0.000
Co 0.000 0.000 0.500
Dy 0.000 0.000 0.000

***

Record 2
The following is a PBE+U calculation of a relaxed structure of Cs2DyCoO4, from Alexandria.

Lattice parameters (Å, degrees): 5.674 7.062 12.025 84.56 76.35 66.31
Atoms (fractional coordinates):
O 0.153 0.327 0.424
O 0.230 0.173 0.924
O 0.597 0.173 0.076
O 0.423 0.673 0.424
O 0.520 0.327 0.576
O 0.327 0.827 0.076
O 0.846 0.827 0.924
O 0.904 0.673 0.576
Co 0.250 0.500 0.500
Co 0.500 0.000 0.000
Cs 0.932 0.500 0.135
Cs 0.182 0.000 0.635
Cs 0.818 0.000 0.365
Cs 0.568 0.500 0.865
Dy 0.000 0.000 0.000
Dy 0.750 0.500 0.500

***

Across the entries above, total magnetic moment takes the values 10.0; 4.0 μB per formula unit, respectively.
Across the entries above, DFT total energy takes the values -92.98; -89.41 eV per cell, respectively.